1.
# TaP2Cl, relaxed, DFT PBE-GGA
data_TaP2Cl
_chemical_formula_sum 'Ta2 P4 Cl2'
_cell_length_a 3.029
_cell_length_b 6.057
_cell_length_c 9.570
_cell_angle_alpha 90.00
_cell_angle_beta 90.00
_cell_angle_gamma 90.00
_space_group_name_H-M_alt 'C m m 2'
_space_group_IT_number 35
loop_
_space_group_symop_operation_xyz
'x,y,z'
'-x,-y,z'
'-x,y,z'
'x,-y,z'
'x+1/2,y+1/2,z'
'-x+1/2,-y+1/2,z'
'-x+1/2,y+1/2,z'
'x+1/2,-y+1/2,z'
loop_
_atom_site_label
_atom_site_fract_x
_atom_site_fract_y
_atom_site_fract_z
_atom_site_occupancy
Ta1 0.000 0.000 0.000 1
P1 0.000 0.000 0.376 1
P2 0.000 0.500 0.220 1
Cl1 0.000 0.500 0.797 1
# Energy relative to the lowest polymorph listed for this composition = 2.405 eV per formula unit
# Crystal system = orthorhombic
# Fermi-level density of states = 4.01 states/eV/f.u.

2.
# TaP2Cl, relaxed, DFT PBE-GGA
data_TaP2Cl
_chemical_formula_sum 'Ta1 P2 Cl1'
_cell_length_a 3.601
_cell_length_b 3.601
_cell_length_c 4.891
_cell_angle_alpha 90.00
_cell_angle_beta 90.00
_cell_angle_gamma 90.00
_space_group_name_H-M_alt 'P 4/m m m'
_space_group_IT_number 123
_space_group_name_Hall '-P 4 2'
loop_
_atom_site_label
_atom_site_fract_x
_atom_site_fract_y
_atom_site_fract_z
_atom_site_occupancy
Ta1 0.000 0.000 0.000 1
P1 0.000 0.500 0.500 1
Cl1 0.500 0.500 0.000 1
# Energy relative to the lowest polymorph listed for this composition = 3.798 eV per formula unit
# Crystal system = tetragonal
# Fermi-level density of states = 3.64 states/eV/f.u.

3.
# TaP2Cl, relaxed, DFT PBE-GGA
data_TaP2Cl
_chemical_formula_sum 'Ta4 P8 Cl4'
_cell_length_a 6.292
_cell_length_b 6.292
_cell_length_c 6.292
_cell_angle_alpha 90.00
_cell_angle_beta 90.00
_cell_angle_gamma 90.00
_space_group_name_H-M_alt 'F -4 3 m'
_space_group_IT_number 216
_space_group_name_Hall 'F -4 2 3'
loop_
_atom_site_label
_atom_site_fract_x
_atom_site_fract_y
_atom_site_fract_z
_atom_site_occupancy
Ta1 0.000 0.000 0.000 1
P1 0.000 0.000 0.500 1
P2 0.250 0.250 0.250 1
Cl1 0.250 0.250 0.750 1
# Energy relative to the lowest polymorph listed for this composition = 3.264 eV per formula unit
# Crystal system = cubic
# Fermi-level density of states = 2.88 states/eV/f.u.

4.
# TaP2Cl, relaxed, DFT PBE-GGA
data_TaP2Cl
_chemical_formula_sum 'Ta4 P8 Cl4'
_cell_length_a 6.080
_cell_length_b 6.080
_cell_length_c 11.341
_cell_angle_alpha 90.00
_cell_angle_beta 90.00
_cell_angle_gamma 90.00
_space_group_name_H-M_alt 'I -4 2 d'
_space_group_IT_number 122
_space_group_name_Hall 'I -4 2bw'
loop_
_atom_site_label
_atom_site_fract_x
_atom_site_fract_y
_atom_site_fract_z
_atom_site_occupancy
Ta1 0.000 0.000 0.000 1
P1 0.187 0.250 0.125 1
Cl1 0.000 0.000 0.500 1
# Energy relative to the lowest polymorph listed for this composition = 3.175 eV per formula unit
# Crystal system = tetragonal
# Fermi-level density of states = 1.81 states/eV/f.u.

5.
# TaP2Cl, relaxed, DFT PBE-GGA
data_TaP2Cl
_chemical_formula_sum 'Ta2 P4 Cl2'
_cell_length_a 2.833
_cell_length_b 4.727
_cell_length_c 10.662
_cell_angle_alpha 90.00
_cell_angle_beta 90.00
_cell_angle_gamma 90.00
_space_group_name_H-M_alt 'I m m m'
_space_group_IT_number 71
_space_group_name_Hall '-I 2 2'
loop_
_atom_site_label
_atom_site_fract_x
_atom_site_fract_y
_atom_site_fract_z
_atom_site_occupancy
Ta1 0.000 0.000 0.000 1
P1 0.000 0.500 0.294 1
Cl1 0.000 0.000 0.500 1
# Energy relative to the lowest polymorph listed for this composition = 2.902 eV per formula unit
# Crystal system = orthorhombic
# Fermi-level density of states = 2.30 states/eV/f.u.

6.
# TaP2Cl, relaxed, DFT PBE-GGA
data_TaP2Cl
_chemical_formula_sum 'Ta1 P2 Cl1'
_cell_length_a 3.520
_cell_length_b 3.332
_cell_length_c 7.723
_cell_angle_alpha 90.00
_cell_angle_beta 90.15
_cell_angle_gamma 90.00
_space_group_name_H-M_alt 'P 1 m 1'
_space_group_IT_number 6
loop_
_space_group_symop_operation_xyz
'x,y,z'
'x,-y,z'
loop_
_atom_site_label
_atom_site_fract_x
_atom_site_fract_y
_atom_site_fract_z
_atom_site_occupancy
Ta1 0.000 0.000 0.000 1
P1 0.501 0.500 0.086 1
P2 0.502 0.000 0.280 1
Cl1 0.999 0.500 0.752 1
# Energy relative to the lowest polymorph listed for this composition = 0.046 eV per formula unit
# Crystal system = monoclinic
# Fermi-level density of states = 0.86 states/eV/f.u.

7.
# TaP2Cl, relaxed, DFT PBE-GGA
data_TaP2Cl
_chemical_formula_sum 'Ta1 P2 Cl1'
_cell_length_a 3.349
_cell_length_b 3.349
_cell_length_c 6.285
_cell_angle_alpha 90.00
_cell_angle_beta 90.00
_cell_angle_gamma 90.00
_space_group_name_H-M_alt 'P 4/m m m'
_space_group_IT_number 123
_space_group_name_Hall '-P 4 2'
loop_
_atom_site_label
_atom_site_fract_x
_atom_site_fract_y
_atom_site_fract_z
_atom_site_occupancy
Ta1 0.000 0.000 0.000 1
P1 0.500 0.500 0.185 1
Cl1 0.000 0.000 0.500 1
# Energy relative to the lowest polymorph listed for this composition = 0.960 eV per formula unit
# Crystal system = tetragonal
# Fermi-level density of states = 1.56 states/eV/f.u.

8.
# TaP2Cl, relaxed, DFT PBE-GGA
data_TaP2Cl
_chemical_formula_sum 'Ta2 P4 Cl2'
_cell_length_a 8.779
_cell_length_b 3.174
_cell_length_c 5.361
_cell_angle_alpha 90.00
_cell_angle_beta 99.50
_cell_angle_gamma 90.00
_space_group_name_H-M_alt 'C 1 2/m 1'
_space_group_IT_number 12
loop_
_space_group_symop_operation_xyz
'x,y,z'
'-x,-y,-z'
'-x,y,-z'
'x,-y,z'
'x+1/2,y+1/2,z'
'-x+1/2,-y+1/2,-z'
'-x+1/2,y+1/2,-z'
'x+1/2,-y+1/2,z'
loop_
_atom_site_label
_atom_site_fract_x
_atom_site_fract_y
_atom_site_fract_z
_atom_site_occupancy
Ta1 0.000 0.000 0.000 1
P1 0.230 0.500 0.151 1
Cl1 0.000 0.500 0.500 1
# Energy relative to the lowest polymorph listed for this composition = 1.656 eV per formula unit
# Crystal system = monoclinic
# Fermi-level density of states = 2.23 states/eV/f.u.

9.
# TaPCl9, relaxed, DFT PBE-GGA
data_TaPCl9
_chemical_formula_sum 'Ta2 P2 Cl18'
_cell_length_a 7.689
_cell_length_b 10.407
_cell_length_c 11.059
_cell_angle_alpha 77.32
_cell_angle_beta 89.36
_cell_angle_gamma 73.18
_space_group_name_H-M_alt 'P -1'
_space_group_IT_number 2
loop_
_space_group_symop_operation_xyz
'x,y,z'
'-x,-y,-z'
loop_
_atom_site_label
_atom_site_fract_x
_atom_site_fract_y
_atom_site_fract_z
_atom_site_occupancy
Ta1 0.144 0.205 0.195 1
P1 0.376 0.781 0.327 1
Cl1 0.001 0.031 0.252 1
Cl2 0.110 0.610 0.853 1
Cl3 0.164 0.212 0.405 1
Cl4 0.165 0.166 0.995 1
Cl5 0.227 0.658 0.288 1
Cl6 0.333 0.788 0.506 1
Cl7 0.364 0.323 0.155 1
Cl8 0.366 0.341 0.671 1
Cl9 0.450 0.995 0.249 1
# Crystal system = triclinic

10.
# TaPCl10, relaxed, DFT PBE-GGA
data_TaPCl10
_chemical_formula_sum 'Ta2 P2 Cl20'
_cell_length_a 7.580
_cell_length_b 7.772
_cell_length_c 14.351
_cell_angle_alpha 85.96
_cell_angle_beta 88.43
_cell_angle_gamma 70.00
_space_group_name_H-M_alt 'P -1'
_space_group_IT_number 2
loop_
_space_group_symop_operation_xyz
'x,y,z'
'-x,-y,-z'
loop_
_atom_site_label
_atom_site_fract_x
_atom_site_fract_y
_atom_site_fract_z
_atom_site_occupancy
Ta1 0.000 0.000 0.000 1
Ta2 0.000 0.000 0.500 1
P1 0.377 0.395 0.262 1
Cl1 0.112 0.746 0.611 1
Cl2 0.125 0.175 0.590 1
Cl3 0.128 0.007 0.147 1
Cl4 0.130 0.488 0.203 1
Cl5 0.207 0.142 0.927 1
Cl6 0.226 0.706 0.981 1
Cl7 0.289 0.894 0.417 1
Cl8 0.347 0.365 0.397 1
Cl9 0.474 0.839 0.787 1
Cl10 0.495 0.427 0.768 1
# Crystal system = triclinic
# Fermi-level density of states = 0.00 states/eV/f.u.

11.
# TaP2Cl, relaxed, DFT PBE-GGA
data_TaP2Cl
_chemical_formula_sum 'Ta1 P2 Cl1'
_cell_length_a 4.807
_cell_length_b 4.807
_cell_length_c 2.785
_cell_angle_alpha 90.00
_cell_angle_beta 90.00
_cell_angle_gamma 90.00
_space_group_name_H-M_alt 'P 4/m m m'
_space_group_IT_number 123
_space_group_name_Hall '-P 4 2'
loop_
_atom_site_label
_atom_site_fract_x
_atom_site_fract_y
_atom_site_fract_z
_atom_site_occupancy
Ta1 0.000 0.000 0.000 1
P1 0.000 0.500 0.500 1
Cl1 0.500 0.500 0.000 1
# Energy relative to the lowest polymorph listed for this composition = 3.964 eV per formula unit
# Crystal system = tetragonal
# Fermi-level density of states = 2.96 states/eV/f.u.

12.
# TaP2Cl, relaxed, DFT PBE-GGA
data_TaP2Cl
_chemical_formula_sum 'Ta2 P4 Cl2'
_cell_length_a 4.717
_cell_length_b 8.911
_cell_length_c 3.163
_cell_angle_alpha 90.00
_cell_angle_beta 91.95
_cell_angle_gamma 90.00
_space_group_name_H-M_alt 'C 1 2/m 1'
_space_group_IT_number 12
loop_
_space_group_symop_operation_xyz
'x,y,z'
'-x,-y,-z'
'-x,y,-z'
'x,-y,z'
'x+1/2,y+1/2,z'
'-x+1/2,-y+1/2,-z'
'-x+1/2,y+1/2,-z'
'x+1/2,-y+1/2,z'
loop_
_atom_site_label
_atom_site_fract_x
_atom_site_fract_y
_atom_site_fract_z
_atom_site_occupancy
Ta1 0.000 0.000 0.000 1
P1 0.250 0.250 0.500 1
Cl1 0.000 0.500 0.000 1
# Energy relative to the lowest polymorph listed for this composition = 2.934 eV per formula unit
# Crystal system = monoclinic
# Fermi-level density of states = 1.65 states/eV/f.u.

13.
# Ta2TcPCl, relaxed, DFT PBE-GGA
data_Ta2TcPCl
_chemical_formula_sum 'Ta2 Tc1 P1 Cl1'
_cell_length_a 4.524
_cell_length_b 4.524
_cell_length_c 4.318
_cell_angle_alpha 90.00
_cell_angle_beta 90.00
_cell_angle_gamma 90.00
_space_group_name_H-M_alt 'P 4/m m m'
_space_group_IT_number 123
_space_group_name_Hall '-P 4 2'
loop_
_atom_site_label
_atom_site_fract_x
_atom_site_fract_y
_atom_site_fract_z
_atom_site_occupancy
Ta1 0.000 0.500 0.000 1
Tc1 0.000 0.000 0.500 1
P1 0.500 0.500 0.500 1
Cl1 0.000 0.000 0.000 1
# Crystal system = tetragonal
# Fermi-level density of states = 4.89 states/eV/f.u.

no.,E_form (uncorrected) (meV per atom),magnetization (μB per atom)
1,133.5,0.00
2,481.8,0.18
3,348.2,0.00
4,326.0,0.00
5,257.9,0.00
6,-456.1,0.00
7,-227.7,0.00
8,-53.6,0.00
9,-971.4,0.09
10,-1008.0,0.00
11,523.4,0.00
12,265.9,0.00
13,1096.0,0.00